[1]
{
  "formula": "Pu2ScPt3",
  "functional": "GGA-PBE",
  "state": "relaxed",
  "cell": [[4.102, 0.000, 0.000], [0.000, 5.649, 0.000], [-2.051, -2.825, 5.873]],
  "species": ["Pt", "Pt", "Pt", "Sc", "Pu", "Pu"],
  "fractional_positions": [[0.344, 0.344, 0.688], [0.000, 0.000, 0.000], [0.656, 0.656, 0.312], [0.000, 0.500, 0.000], [0.668, 0.168, 0.337], [0.332, 0.832, 0.663]],
  "e_above_lowest_polymorph_ev_per_atom": 0.098,
  "formation_energy_ev_per_fu": -4.743
}

[2]
{
  "formula": "PuSc2Pt3",
  "functional": "GGA-PBE",
  "state": "relaxed",
  "cell": [[3.295, 0.000, 0.000], [0.000, 3.295, 0.000], [0.000, 0.000, 10.533]],
  "species": ["Sc", "Sc", "Pt", "Pt", "Pt", "Pu"],
  "fractional_positions": [[0.500, 0.500, 0.159], [0.500, 0.500, 0.841], [0.000, 0.000, 0.697], [0.000, 0.000, 0.000], [0.000, 0.000, 0.303], [0.500, 0.500, 0.500]],
  "formation_energy_ev_per_fu": -6.472
}

[3]
{
  "formula": "Pu3ScPt3",
  "functional": "GGA-PBE",
  "state": "relaxed",
  "cell": [[-0.254, -7.015, 0.544], [4.519, -1.877, -5.062], [5.521, -0.998, 3.786]],
  "species": ["Pu", "Pu", "Pu", "Pu", "Pu", "Pu", "Pt", "Pt", "Pt", "Pt", "Pt", "Pt", "Sc", "Sc"],
  "fractional_positions": [[0.211, 0.789, 0.500], [0.307, 0.693, 0.000], [0.699, 0.699, 0.515], [0.789, 0.211, 0.500], [0.301, 0.301, 0.485], [0.693, 0.307, 0.000], [0.946, 0.946, 0.219], [0.989, 0.503, 0.227], [0.497, 0.011, 0.773], [0.503, 0.989, 0.227], [0.054, 0.054, 0.781], [0.011, 0.497, 0.773], [0.798, 0.798, 0.951], [0.202, 0.202, 0.049]],
  "formation_energy_ev_per_fu": -4.529
}

[4]
{
  "formula": "PuScPt6",
  "functional": "GGA-PBE",
  "state": "relaxed",
  "cell": [[4.076, 0.000, 0.000], [0.000, 4.076, 0.000], [0.000, 0.000, 8.189]],
  "species": ["Pt", "Pt", "Pt", "Pt", "Pt", "Pt", "Sc", "Pu"],
  "fractional_positions": [[0.500, 0.000, 0.241], [0.500, 0.500, 0.500], [0.000, 0.500, 0.759], [0.000, 0.500, 0.241], [0.500, 0.000, 0.759], [0.500, 0.500, 0.000], [0.000, 0.000, 0.000], [0.000, 0.000, 0.500]],
  "formation_energy_ev_per_fu": -6.949
}

[5]
{
  "formula": "PuSc2Pt4",
  "functional": "GGA-PBE",
  "state": "relaxed",
  "cell": [[4.942, 0.001, -1.494], [-0.450, 4.921, -1.494], [-0.757, -0.830, 6.420]],
  "species": ["Sc", "Sc", "Pu", "Pt", "Pt", "Pt", "Pt"],
  "fractional_positions": [[0.346, 0.346, 0.693], [0.654, 0.654, 0.307], [0.000, 0.000, 0.000], [0.000, 0.500, 0.000], [0.500, 0.000, 0.000], [0.750, 0.250, 0.500], [0.250, 0.750, 0.500]],
  "formation_energy_ev_per_fu": -5.864
}

[6]
{
  "formula": "Pu2Sc2Pt3",
  "functional": "GGA-PBE",
  "state": "relaxed",
  "cell": [[4.792, 0.000, 0.002], [-2.377, 6.888, 1.405], [-0.001, 0.741, 4.825]],
  "species": ["Pu", "Pu", "Sc", "Sc", "Pt", "Pt", "Pt"],
  "fractional_positions": [[0.123, 0.240, 0.380], [0.877, 0.760, 0.620], [0.372, 0.744, 0.128], [0.628, 0.256, 0.872], [0.000, 0.000, 0.000], [0.256, 0.515, 0.743], [0.744, 0.485, 0.257]],
  "formation_energy_ev_per_fu": -5.464
}

[7]
{
  "formula": "Pu3ScPt4",
  "functional": "GGA-PBE",
  "state": "relaxed",
  "cell": [[-0.588, -1.549, 2.934], [3.293, 0.087, 0.707], [-1.730, 12.902, 6.464]],
  "species": ["Pt", "Pt", "Pt", "Pt", "Pu", "Pu", "Pu", "Sc"],
  "fractional_positions": [[0.000, 0.000, 0.895], [0.000, 0.000, 0.370], [0.000, 0.000, 0.630], [0.000, 0.000, 0.105], [0.500, 0.500, 0.758], [0.500, 0.500, 0.500], [0.500, 0.500, 0.242], [0.500, 0.500, 0.000]],
  "formation_energy_ev_per_fu": -6.643
}

[8]
{
  "formula": "Pu2ScSi3Pt4",
  "functional": "GGA-PBE",
  "state": "relaxed",
  "cell": [[-2.306, -1.657, -3.011], [-2.560, -1.591, 2.837], [-6.000, 9.007, -0.362]],
  "species": ["Si", "Si", "Si", "Pu", "Pu", "Sc", "Pt", "Pt", "Pt", "Pt"],
  "fractional_positions": [[0.500, 0.000, 0.873], [0.000, 0.000, 0.500], [0.000, 0.500, 0.127], [0.500, 0.000, 0.238], [0.000, 0.500, 0.762], [0.500, 0.500, 0.500], [0.500, 0.500, 0.000], [0.000, 0.000, 0.000], [0.500, 0.000, 0.651], [0.000, 0.500, 0.349]],
  "e_form_raw_ev_per_atom": -0.913
}

[9]
{
  "formula": "PuScSnPt",
  "functional": "GGA-PBE",
  "state": "relaxed",
  "cell": [[-2.565, 1.567, 4.035], [1.975, -0.528, 4.597], [1.552, 4.049, 2.551]],
  "species": ["Pt", "Sn", "Pu", "Sc"],
  "fractional_positions": [[0.750, 0.750, 0.750], [0.250, 0.250, 0.250], [0.000, 0.000, 0.000], [0.500, 0.500, 0.500]],
  "formation_energy_ev_per_fu": -2.280
}

[10]
{
  "formula": "PuScTcPt",
  "functional": "GGA-PBE",
  "state": "relaxed",
  "cell": [[-0.761, -1.264, 4.491], [-1.623, -4.327, 0.995], [2.830, -3.167, 2.076]],
  "species": ["Sc", "Tc", "Pt", "Pu"],
  "fractional_positions": [[0.250, 0.250, 0.250], [0.000, 0.000, 0.000], [0.500, 0.500, 0.500], [0.750, 0.750, 0.750]],
  "formation_energy_ev_per_fu": -1.964
}

[11]
{
  "formula": "PuScZnPt",
  "functional": "GGA-PBE",
  "state": "relaxed",
  "cell": [[-2.779, 3.476, 1.975], [0.317, 0.957, 4.764], [2.020, 4.162, 1.518]],
  "species": ["Zn", "Sc", "Pu", "Pt"],
  "fractional_positions": [[0.500, 0.500, 0.500], [0.250, 0.250, 0.250], [0.750, 0.750, 0.750], [0.000, 0.000, 0.000]],
  "formation_energy_ev_per_fu": -2.149
}

[12]
{
  "formula": "PuPtSe2",
  "functional": "GGA-PBE",
  "state": "relaxed",
  "cell": [[-2.650, -1.734, -1.977], [0.899, -1.824, -3.131], [0.710, -8.333, 2.830]],
  "species": ["Pt", "Pu", "Se", "Se"],
  "fractional_positions": [[0.500, 0.500, 0.500], [0.000, 0.000, 0.000], [0.887, 0.887, 0.340], [0.113, 0.113, 0.660]],
  "e_form_raw_ev_per_atom": -0.207
}

[13]
{
  "formula": "Pu4PtSe3",
  "functional": "GGA-PBE",
  "state": "relaxed",
  "cell": [[4.118, 0.000, 0.000], [0.000, 7.242, -0.030], [0.000, -2.312, 6.863]],
  "species": ["Pu", "Pu", "Pu", "Pu", "Se", "Se", "Se", "Pt"],
  "fractional_positions": [[0.500, 0.755, 0.245], [0.500, 0.245, 0.755], [0.000, 0.758, 0.758], [0.000, 0.242, 0.242], [0.500, 0.500, 0.500], [0.000, 0.500, 0.000], [0.000, 0.000, 0.500], [0.500, 0.000, 0.000]],
  "e_form_raw_ev_per_atom": -1.272
}

[14]
{
  "formula": "PuPtSe",
  "functional": "GGA-PBE",
  "state": "relaxed",
  "cell": [[4.017, 0.000, 0.000], [0.000, 5.369, 0.000], [-2.009, 0.000, 6.098]],
  "species": ["Pt", "Pt", "Pu", "Pu", "Se", "Se"],
  "fractional_positions": [[0.467, 0.750, 0.933], [0.533, 0.250, 0.067], [0.872, 0.250, 0.744], [0.128, 0.750, 0.256], [0.198, 0.250, 0.396], [0.802, 0.750, 0.604]],
  "e_form_raw_ev_per_atom": -0.933
}

[15]
{
  "formula": "PuThPtSe",
  "functional": "GGA-PBE",
  "state": "relaxed",
  "cell": [[4.113, 0.000, 0.000], [2.056, 3.562, 0.000], [2.056, 1.187, 7.236]],
  "species": ["Se", "Th", "Pu", "Pt"],
  "fractional_positions": [[0.694, 0.694, 0.916], [0.937, 0.937, 0.188], [0.449, 0.449, 0.652], [0.195, 0.195, 0.414]],
  "e_form_raw_ev_per_atom": -1.207
}

[16]
{
  "formula": "Pu3Si4Pt4",
  "functional": "GGA-PBE",
  "state": "relaxed",
  "cell": [[-2.323, -3.095, -1.563], [3.678, -4.661, 3.763], [-5.043, 4.567, 4.020]],
  "species": ["Pt", "Pt", "Pt", "Pt", "Si", "Si", "Si", "Si", "Pu", "Pu", "Pu"],
  "fractional_positions": [[0.674, 0.874, 0.348], [0.326, 0.126, 0.652], [0.326, 0.526, 0.652], [0.674, 0.474, 0.348], [0.222, 0.722, 0.443], [0.500, 0.812, 0.000], [0.500, 0.188, 0.000], [0.778, 0.278, 0.557], [0.117, 0.117, 0.235], [0.000, 0.500, 0.000], [0.883, 0.883, 0.765]],
  "e_form_raw_ev_per_atom": -0.809
}

[17]
{
  "formula": "PuSi3Pt6",
  "functional": "GGA-PBE",
  "state": "relaxed",
  "cell": [[-4.862, 3.999, -0.276], [-1.017, -6.215, -0.205], [3.190, -0.704, 5.538]],
  "species": ["Pt", "Pt", "Pt", "Pt", "Pt", "Pt", "Si", "Si", "Si", "Pu"],
  "fractional_positions": [[0.329, 0.867, 0.705], [0.809, 0.116, 0.225], [0.838, 0.462, 0.705], [0.532, 0.417, 0.225], [0.243, 0.376, 0.705], [0.110, 0.693, 0.225], [0.621, 0.310, 0.931], [0.377, 0.689, 0.066], [0.272, 0.136, 0.408], [0.868, 0.934, 0.803]],
  "e_form_raw_ev_per_atom": -0.644
}

[18]
{
  "formula": "Pu2Si5Pt3",
  "functional": "GGA-PBE",
  "state": "relaxed",
  "cell": [[5.668, 0.003, 2.073], [3.060, 7.591, 0.410], [0.221, -0.371, 8.184]],
  "species": ["Pu", "Pu", "Pu", "Pu", "Pt", "Pt", "Pt", "Pt", "Pt", "Pt", "Si", "Si", "Si", "Si", "Si", "Si", "Si", "Si", "Si", "Si"],
  "fractional_positions": [[0.270, 0.860, 0.599], [0.770, 0.599, 0.860], [0.730, 0.140, 0.401], [0.230, 0.401, 0.140], [0.111, 0.252, 0.526], [0.250, 0.000, 0.000], [0.389, 0.474, 0.748], [0.889, 0.748, 0.474], [0.611, 0.526, 0.252], [0.750, 0.000, 0.000], [0.250, 0.773, 0.227], [0.652, 0.959, 0.737], [0.750, 0.773, 0.227], [0.750, 0.227, 0.773], [0.848, 0.263, 0.041], [0.250, 0.500, 0.500], [0.750, 0.500, 0.500], [0.250, 0.227, 0.773], [0.152, 0.737, 0.959], [0.348, 0.041, 0.263]],
  "e_form_raw_ev_per_atom": -0.804
}

[19]
{
  "formula": "PuSi3Pt3",
  "functional": "GGA-PBE",
  "state": "relaxed",
  "cell": [[-0.703, 6.521, 0.863], [-4.496, -1.110, 4.725], [4.802, -0.085, 4.549]],
  "species": ["Pu", "Pu", "Si", "Si", "Si", "Si", "Si", "Si", "Pt", "Pt", "Pt", "Pt", "Pt", "Pt"],
  "fractional_positions": [[0.500, 0.500, 0.500], [0.000, 0.000, 0.000], [0.250, 0.000, 0.500], [0.500, 0.250, 0.000], [0.000, 0.500, 0.750], [0.500, 0.750, 0.000], [0.750, 0.000, 0.500], [0.000, 0.500, 0.250], [0.500, 0.000, 0.750], [0.000, 0.250, 0.500], [0.000, 0.750, 0.500], [0.250, 0.500, 0.000], [0.750, 0.500, 0.000], [0.500, 0.000, 0.250]],
  "e_form_raw_ev_per_atom": -0.539
}

[20]
{
  "formula": "Pu3Si4Pt4",
  "functional": "GGA-PBE",
  "state": "relaxed",
  "cell": [[4.097, 0.000, 0.000], [0.000, 3.966, 0.000], [-2.049, -1.983, 12.828]],
  "species": ["Pu", "Pu", "Pu", "Si", "Si", "Si", "Si", "Pt", "Pt", "Pt", "Pt"],
  "fractional_positions": [[0.354, 0.854, 0.708], [0.646, 0.146, 0.292], [0.000, 0.000, 0.000], [0.455, 0.455, 0.910], [0.911, 0.411, 0.822], [0.089, 0.589, 0.178], [0.545, 0.545, 0.090], [0.251, 0.251, 0.502], [0.749, 0.749, 0.498], [0.178, 0.678, 0.356], [0.822, 0.322, 0.644]],
  "e_form_raw_ev_per_atom": -0.596
}

[21]
{
  "formula": "Pu3Si2Pt3",
  "functional": "GGA-PBE",
  "state": "relaxed",
  "cell": [[-1.902, -1.095, -3.671], [-2.644, -2.187, 4.513], [-8.244, 11.627, 0.803]],
  "species": ["Pu", "Pu", "Pu", "Pu", "Pu", "Pu", "Pt", "Pt", "Pt", "Pt", "Pt", "Pt", "Si", "Si", "Si", "Si"],
  "fractional_positions": [[0.080, 0.161, 0.889], [0.080, 0.161, 0.611], [0.920, 0.839, 0.111], [0.615, 0.230, 0.250], [0.920, 0.839, 0.389], [0.385, 0.770, 0.750], [0.621, 0.243, 0.042], [0.684, 0.368, 0.750], [0.316, 0.632, 0.250], [0.379, 0.757, 0.958], [0.621, 0.243, 0.458], [0.379, 0.757, 0.542], [0.787, 0.574, 0.907], [0.213, 0.426, 0.407], [0.213, 0.426, 0.093], [0.787, 0.574, 0.593]],
  "e_form_raw_ev_per_atom": -0.819
}

[22]
{
  "formula": "Pu2Si2Pt",
  "functional": "GGA-PBE",
  "state": "relaxed",
  "cell": [[-3.492, -4.467, 2.492], [4.994, -2.324, 2.832], [-1.601, 5.213, 7.101]],
  "species": ["Si", "Si", "Si", "Si", "Si", "Si", "Si", "Si", "Pt", "Pt", "Pt", "Pt", "Pu", "Pu", "Pu", "Pu", "Pu", "Pu", "Pu", "Pu"],
  "fractional_positions": [[0.868, 0.632, 0.750], [0.632, 0.132, 0.750], [0.132, 0.368, 0.750], [0.368, 0.868, 0.250], [0.132, 0.368, 0.250], [0.632, 0.132, 0.250], [0.368, 0.868, 0.750], [0.868, 0.632, 0.250], [0.000, 0.000, 0.322], [0.000, 0.000, 0.678], [0.500, 0.500, 0.178], [0.500, 0.500, 0.822], [0.626, 0.747, 0.500], [0.126, 0.753, 0.000], [0.874, 0.247, 0.000], [0.253, 0.626, 0.500], [0.247, 0.126, 0.000], [0.747, 0.374, 0.500], [0.753, 0.874, 0.000], [0.374, 0.253, 0.500]],
  "e_form_raw_ev_per_atom": -0.340
}

[23]
{
  "formula": "Pu3SiPt3",
  "functional": "GGA-PBE",
  "state": "relaxed",
  "cell": [[-2.340, 0.370, -3.403], [-5.501, 0.104, 1.268], [-1.026, 13.775, -0.323]],
  "species": ["Pu", "Pu", "Pu", "Pu", "Pu", "Pu", "Pt", "Pt", "Pt", "Pt", "Pt", "Pt", "Si", "Si"],
  "fractional_positions": [[0.601, 0.720, 0.078], [0.481, 0.654, 0.383], [0.745, 0.739, 0.771], [0.519, 0.346, 0.617], [0.255, 0.261, 0.229], [0.399, 0.280, 0.922], [0.855, 0.746, 0.545], [0.969, 0.823, 0.239], [0.874, 0.175, 0.077], [0.145, 0.254, 0.455], [0.126, 0.825, 0.923], [0.031, 0.177, 0.761], [0.234, 0.928, 0.605], [0.766, 0.072, 0.395]],
  "e_form_raw_ev_per_atom": -0.782
}